1.
The following is a DFT calculation (SCAN) of Ba2Zn2ClF7 at its PBEsol-relaxed geometry. Values from VASP.

Structure (Quantum ESPRESSO input):
```
&SYSTEM
  ibrav = 0, nat = 24, ntyp = 4
/
ATOMIC_SPECIES
F 19.00 F.upf
Ba 137.33 Ba.upf
Zn 65.41 Zn.upf
Cl 35.45 Cl.upf
ATOMIC_POSITIONS crystal
F 0.507 0.625 0.159
F 0.003 0.993 0.170
F 0.993 0.625 0.159
F 0.493 0.375 0.841
F 0.497 0.993 0.170
F 0.007 0.375 0.841
F 0.997 0.007 0.830
F 0.750 0.746 0.932
F 0.500 0.638 0.654
F 0.503 0.007 0.830
F 0.250 0.254 0.068
F 0.000 0.362 0.346
F 0.000 0.638 0.654
F 0.500 0.362 0.346
Ba 0.750 0.297 0.073
Ba 0.250 0.703 0.927
Ba 0.250 0.667 0.411
Ba 0.750 0.333 0.589
Zn 0.750 0.814 0.174
Zn 0.250 0.173 0.269
Zn 0.250 0.186 0.826
Zn 0.750 0.827 0.731
Cl 0.750 0.881 0.469
Cl 0.250 0.119 0.531
CELL_PARAMETERS angstrom
5.789 0.000 0.000
0.000 7.661 -0.004
0.000 -2.567 8.491
```

Computed properties:
* total magnetization: 0.00 μB/atom
* raw formation energy: -3.19 eV per atom
* space group: P2_1/m (11)



2.
The following is a DFT calculation (SCAN) of Co2ReMo at its PBEsol-relaxed geometry. Values from VASP.

Structure (Quantum ESPRESSO input):
```
&SYSTEM
  ibrav = 0, nat = 4, ntyp = 3
/
ATOMIC_SPECIES
Re 186.21 Re.upf
Mo 95.94 Mo.upf
Co 58.93 Co.upf
ATOMIC_POSITIONS crystal
Re 0.250 0.250 0.250
Mo 0.500 0.500 0.500
Co 0.750 0.750 0.750
Co 0.000 0.000 0.000
CELL_PARAMETERS angstrom
-3.174 0.836 -2.543
-2.443 -3.074 -1.352
-3.904 -0.310 1.381
```

Computed properties:
* ΔE to the lowest computed polymorph: 0.208 eV/atom
* total magnetization: 0.09 μB/atom
* space group: F-43m (216)



3.
The following is a DFT calculation (SCAN) of BaTa2NiRu at its PBEsol-relaxed geometry. Values from VASP.

Structure (Quantum ESPRESSO input):
```
&SYSTEM
  ibrav = 0, nat = 5, ntyp = 4
/
ATOMIC_SPECIES
Ba 137.33 Ba.upf
Ni 58.69 Ni.upf
Ru 101.07 Ru.upf
Ta 180.95 Ta.upf
ATOMIC_POSITIONS crystal
Ba 0.000 0.000 0.500
Ni 0.000 0.000 0.000
Ru 0.500 0.500 0.500
Ta 0.000 0.500 0.000
Ta 0.500 0.000 0.000
CELL_PARAMETERS angstrom
-0.664 -1.978 4.061
4.082 1.496 1.395
-2.289 4.535 1.834
```

Computed properties:
* total magnetization: 0.06 μB/atom
* total DFT energy (no corrections): -216.1 eV/f.u.
* space group: P4/mmm (123)



Q: What is the total magnetization in the first record?
A: 0.00 μB/atom



Q: What is the total magnetization in the first record?
A: 0.00 μB/atom



Q: The highest total magnetization belongs to which entry?
A: Co2ReMo



Please write out number 2 again, unchanged.
The following is a DFT calculation (SCAN) of Co2ReMo at its PBEsol-relaxed geometry. Values from VASP.

Structure (Quantum ESPRESSO input):
```
&SYSTEM
  ibrav = 0, nat = 4, ntyp = 3
/
ATOMIC_SPECIES
Re 186.21 Re.upf
Mo 95.94 Mo.upf
Co 58.93 Co.upf
ATOMIC_POSITIONS crystal
Re 0.250 0.250 0.250
Mo 0.500 0.500 0.500
Co 0.750 0.750 0.750
Co 0.000 0.000 0.000
CELL_PARAMETERS angstrom
-3.174 0.836 -2.543
-2.443 -3.074 -1.352
-3.904 -0.310 1.381
```

Computed properties:
* ΔE to the lowest computed polymorph: 0.208 eV/atom
* total magnetization: 0.09 μB/atom
* space group: F-43m (216)